DFT (PBE+U) results for a relaxed structure of OsW2F2.

Output
The relative energy among the computed polymorphs comes out at 0.0 kJ/mol of formula units. As for the density of states at the Fermi level: 2.9 states/eV/f.u. The calculation puts the theoretical density at 12.1 g cm⁻³.

CIF file:
```
data_OsW2F2
_chemical_formula_sum 'Os2 W4 F4'
_cell_length_a 7.343
_cell_length_b 7.343
_cell_length_c 3.045
_cell_angle_alpha 90.00
_cell_angle_beta 90.00
_cell_angle_gamma 90.00
_space_group_name_H-M_alt 'P 4/m b m'
_space_group_IT_number 127
_space_group_name_Hall '-P 4 2ab'
loop_
_atom_site_label
_atom_site_type_symbol
_atom_site_fract_x
_atom_site_fract_y
_atom_site_fract_z
_atom_site_occupancy
Os1 Os 0.000 0.000 0.000 1
W1 W 0.244 0.256 0.500 1
F1 F 0.105 0.395 0.000 1
```